A plane-wave DFT calculation with GGA-PBE was carried out for GdZnIr2 after structural relaxation.

Computed properties:
* size of the total moment: 7.0 μB per formula unit
* mass density: 14.704 g cm⁻³
* E_form: -0.42 eV per atom

The structure in CIF format:
```
data_GdZnIr2
_chemical_formula_sum 'Gd1 Zn1 Ir2'
_symmetry_space_group_name_H-M 'P 4/m m m'
_symmetry_Int_Tables_number 123
_symmetry_space_group_name_Hall '-P 4 2'
_cell_length_a 4.2465
_cell_length_b 4.2465
_cell_length_c 3.8021
_cell_angle_alpha 90.00
_cell_angle_beta 90.00
_cell_angle_gamma 90.00
loop_
_atom_site_label
_atom_site_type_symbol
_atom_site_fract_x
_atom_site_fract_y
_atom_site_fract_z
_atom_site_occupancy
Gd1 Gd 0.0000 0.0000 0.0000 1
Zn1 Zn 0.5000 0.5000 0.0000 1
Ir1 Ir 0.0000 0.5000 0.5000 1
```